No. 1
DFT (PBE-GGA) results for HgP2Os after structural relaxation.

## Properties
The calculation puts the magnetic moment at 0.0 μB per formula unit. The value obtained for the formation enthalpy at 0 K is 684 meV/atom.

Cell: 4.0048 3.1740 5.2970 Å, 90.00 90.11 90.00°
Last column: nearest neighbours and their distance in Å.
Space group P2/m (No. 10)
Inequivalent atoms, fractional coordinates:
1 Hg 0.0000 0.0000 0.0000 x1  6 P 2.56-2.65
2 P 0.0000 0.0000 0.5000 x1  4 Os 2.56, 2 Hg 2.65
3 P 0.5000 0.5000 0.0000 x1  4 Hg 2.56, 2 Os 2.65
4 Os 0.5000 0.5000 0.5000 x1  6 P 2.56-2.65


No. 2
DFT (PBE-GGA) results for NpCoNi after structural relaxation.

## Properties
The calculation puts the magnetic moment at 2.4 μB per formula unit. The value obtained for the formation enthalpy at 0 K is 200 meV/atom.

Cell: 5.0928 4.8578 7.3772 Å, 90.00 90.00 90.00°
Last column: nearest neighbours and their distance in Å.
Space group Ama2 (No. 40)
Inequivalent atoms, fractional coordinates:
1 Np 0.2500 0.1019 0.0000 x4  1 Co 2.42, 2 Ni 2.62
2 Co 0.2500 0.1393 0.3786 x4  1 Np 2.42, 4 Ni 2.56-2.68
3 Ni 0.0000 0.0000 0.6651 x4  2 Ni 2.55, 4 Co 2.56-2.68, 4 Np 2.62-2.82


No. 3
DFT (PBE-GGA) results for Ca4MgMo after structural relaxation.

## Properties
The calculation puts the magnetic moment at 4.0 μB per formula unit. The value obtained for the formation enthalpy at 0 K is 863 meV/atom.

Cell: 9.2894 9.2894 9.2894 Å, 90.00 90.00 90.00°
Last column: nearest neighbours and their distance in Å.
Space group F-43m (No. 216)
Inequivalent atoms, fractional coordinates:
1 Ca 0.1253 0.1253 0.1253 x16  6 Ca 3.28-3.29
2 Mg 0.2500 0.2500 0.7500 x4  12 Ca 3.85, 4 Mo 4.02
3 Mo 0.0000 0.0000 0.5000 x4  12 Ca 3.85, 4 Mg 4.02


No. 4
DFT (PBE-GGA) results for Ba4AcHg5 after structural relaxation.

## Properties
The calculation puts the magnetic moment at 0.0 μB per formula unit. The value obtained for the formation enthalpy at 0 K is -519 meV/atom.

Cell: 4.1677 4.1677 20.9411 Å, 90.00 90.00 90.00°
Last column: nearest neighbours and their distance in Å.
Space group P4/mmm (No. 123)
Inequivalent atoms, fractional coordinates:
1 Ba 0.0000 0.0000 0.1014 x2  8 Hg 3.63
2 Ba 0.0000 0.0000 0.3045 x2  8 Hg 3.64-3.68
3 Ac 0.0000 0.0000 0.5000 x1  8 Hg 3.50
4 Hg 0.5000 0.5000 0.0000 x1  8 Ba 3.63
5 Hg 0.5000 0.5000 0.2023 x2  8 Ba 3.63-3.64
6 Hg 0.5000 0.5000 0.4100 x2  4 Ac 3.50, 4 Ba 3.68, 1 Hg 3.77


What did the first record say?
DFT (PBE-GGA) results for HgP2Os after structural relaxation.

## Properties
The calculation puts the magnetic moment at 0.0 μB per formula unit. The value obtained for the formation enthalpy at 0 K is 684 meV/atom.

Cell: 4.0048 3.1740 5.2970 Å, 90.00 90.11 90.00°
Last column: nearest neighbours and their distance in Å.
Space group P2/m (No. 10)
Inequivalent atoms, fractional coordinates:
1 Hg 0.0000 0.0000 0.0000 x1  6 P 2.56-2.65
2 P 0.0000 0.0000 0.5000 x1  4 Os 2.56, 2 Hg 2.65
3 P 0.5000 0.5000 0.0000 x1  4 Hg 2.56, 2 Os 2.65
4 Os 0.5000 0.5000 0.5000 x1  6 P 2.56-2.65